Entry from Alexandria: a geometry-optimized CoNiRuAu2 structure (GGA-PBE).

abc: 5.026 4.350 5.026
angles: 90.00 90.00 90.00
Positions (direct):
Ru1 0.000 0.000 0.000
Co1 0.500 0.500 0.500
Au1 0.000 0.000 0.500
Au2 0.500 0.000 0.000
Ni1 0.000 0.500 0.000

## Properties
Its density of states at the Fermi level is 1.64 states/eV per atom. As for the formation energy: 7.95 eV per formula unit. Its total energy is -20.8 eV/f.u.